! VZn2BiO6, optimized geometry, DFT GGA+U; values from VASP
! Size of the total moment = 0.00 μB/cell
! Space-group type = P-1
! Crystal system = triclinic
! Calculated total energy = -118.57 eV for the cell shown
&SYSTEM
  ibrav = 0, nat = 20, ntyp = 4
/
ATOMIC_SPECIES
V 50.94 V.upf
Zn 65.41 Zn.upf
Bi 208.98 Bi.upf
O 16.00 O.upf
ATOMIC_POSITIONS angstrom
V 1.813 2.174 0.774
V 6.401 5.634 6.085
Zn 2.837 3.349 4.050
Zn 3.478 6.727 4.620
Zn 4.736 1.081 2.240
Zn 5.377 4.459 2.809
Bi 2.415 5.657 1.482
Bi 5.799 2.151 5.377
O 2.137 6.440 6.157
O 1.762 1.698 4.252
O 1.712 3.577 1.875
O 3.587 3.573 6.044
O 3.475 5.197 3.401
O 2.951 0.978 1.349
O 5.263 6.831 5.510
O 4.739 2.611 3.459
O 4.627 4.235 0.815
O 6.502 4.231 4.985
O 6.452 6.110 2.607
O 6.077 1.369 0.702
CELL_PARAMETERS angstrom
5.811 0.000 0.000
1.109 6.848 0.000
1.294 0.960 6.859